# GGA-PBE Tm4BiSb3, optimized geometry
data_Tm4BiSb3
_chemical_formula_sum 'Tm4 Bi1 Sb3'
_symmetry_space_group_name_H-M 'P m -3 m'
_symmetry_Int_Tables_number 221
_symmetry_space_group_name_Hall '-P 4 2 3'
_cell_length_a 6.162
_cell_length_b 6.162
_cell_length_c 6.162
_cell_angle_alpha 90.00
_cell_angle_beta 90.00
_cell_angle_gamma 90.00
loop_
_atom_site_label
_atom_site_type_symbol
_atom_site_fract_x
_atom_site_fract_y
_atom_site_fract_z
_atom_site_occupancy
Tm1 Tm 0.000 0.000 0.000 1
Tm2 Tm 0.000 0.500 0.500 1
Bi1 Bi 0.500 0.500 0.500 1
Sb1 Sb 0.000 0.000 0.500 1
# Crystal system   cubic
# Total moment   0.00 μB per formula unit
# Final energy   -5.28 eV per atom